ZnAg2Br | SCAN | single point on PBEsol structure

abc: 3.440 3.798 6.658
angles: 106.57 104.97 90.00
Atoms (fractional coordinates):
Zn 0.780 0.280 0.560
Ag 0.247 0.747 0.493
Ag 0.931 0.931 0.861
Br 0.543 0.543 0.085

* symmetry: Imm2, No. 44
* V: 80 Å³ per cell
* distance to the lowest polymorph of the same formula: 0.000 eV per atom
* DFT total energy: -23.952 eV per atom